# DyIn9Pd2

DyIn9Pd2 after structural relaxation (PBE, the Alexandria database).

```
DyIn9Pd2
1.0
-6.396 6.396 3.525
6.396 -6.396 3.525
6.396 6.396 -3.525
Dy In Pd
2 18 4
direct
0.375 0.625 0.750
0.625 0.375 0.250
0.089 0.542 0.306
0.089 0.783 0.547
0.125 0.875 0.250
0.217 0.264 0.306
0.217 0.911 0.953
0.264 0.217 0.806
0.264 0.458 0.047
0.458 0.264 0.547
0.458 0.911 0.194
0.542 0.089 0.806
0.542 0.736 0.453
0.736 0.542 0.953
0.736 0.783 0.194
0.783 0.089 0.047
0.783 0.736 0.694
0.875 0.125 0.750
0.911 0.217 0.453
0.911 0.458 0.694
0.000 0.000 0.000
0.000 0.000 0.500
0.000 0.500 0.000
0.500 0.000 0.500
```

Calculated total energy ... -3.47 eV per atom
Energy of formation from the pure elements ... -0.17 eV/atom
Magnetization ... 0.00 μB per formula unit